Compound: Mo3Cl7O
Source: Alexandria via LeMat-Bulk
Functional: PBE+U
Structure: relaxed

```
11
Lattice="-5.287 4.434 -2.148 -2.156 -0.024 -6.899 -7.081 -2.410 0.298" Properties=species:S:1:pos:R:3 pbc="T T T"
Mo -5.260 -1.260 -1.811
Cl -8.164 2.808 -4.634
Cl -7.579 -0.718 -0.938
Cl -9.222 2.793 -8.007
Cl -5.463 0.543 -3.536
Cl -8.677 -0.728 -4.458
O -10.942 1.901 -5.613
Mo -9.073 1.075 -6.195
Cl -10.277 1.544 -2.034
Mo -6.275 -1.271 -5.058
Cl -6.648 0.483 -6.952
```

Values from the calculation:
- E_tot (eV/f.u.) = -51.43